(1)
Below is HfBeI2 after structural relaxation, with properties calculated at the PBEsol level.

As for the uncorrected formation energy: 0.734 eV/atom.

The structure belongs to space group I-42d (No. 122); the cell edges are 6.2646, 6.2646 and 10.5564 Å and the angles 90.00°, 90.00° and 90.00°. The inequivalent atoms are Hf at (0.0000, 0.0000, 0.0000), Be at (0.0000, 0.0000, 0.5000) and I at (0.1954, 0.2500, 0.6250).

***

(2)
Below is AgPRhS2 after structural relaxation, with properties calculated at the PBEsol level.

Its offset from the most stable computed form is 0.0 meV per atom. As for the uncorrected formation energy: 0.555 eV/atom.

The structure belongs to space group P4/mmm (No. 123); the cell edges are 4.7549, 4.7549 and 4.2994 Å and the angles 90.00°, 90.00° and 90.00°. The inequivalent atoms are Ag at (0.0000, 0.0000, 0.0000), P at (0.5000, 0.5000, 0.0000), Rh at (0.5000, 0.5000, 0.5000) and S at (0.0000, 0.5000, 0.5000).

***

(3)
Below is K2SnAu2 after structural relaxation, with properties calculated at the PBEsol level.

The value obtained for the formation energy is -0.197 eV per atom.

The structure belongs to space group P4/mbm (No. 127); the cell edges are 7.1817, 7.1817 and 5.3348 Å and the angles 90.00°, 90.00° and 90.00°. The inequivalent atoms are K at (0.1718, 0.3282, 0.0000), Sn at (0.0000, 0.0000, 0.5000) and Au at (0.1373, 0.6373, 0.5000).

***

(4)
Below is Mn3MoBr after structural relaxation, with properties calculated at the PBEsol level.

As for the uncorrected formation energy: 1.469 eV/atom.

The structure belongs to space group Pm-3m (No. 221); the cell edges are 4.6210, 4.6210 and 4.6210 Å and the angles 90.00°, 90.00° and 90.00°. The inequivalent atoms are Mn at (0.0000, 0.0000, 0.5000), Mo at (0.0000, 0.0000, 0.0000) and Br at (0.5000, 0.5000, 0.5000).

***

(5)
Below is BiTeP3 after structural relaxation, with properties calculated at the PBEsol level.

As for the uncorrected formation energy: 1.384 eV/atom.

The structure belongs to space group Pm-3m (No. 221); the cell edges are 5.1409, 5.1409 and 5.1409 Å and the angles 90.00°, 90.00° and 90.00°. The inequivalent atoms are Bi at (0.0000, 0.0000, 0.0000), Te at (0.5000, 0.5000, 0.5000) and P at (0.0000, 0.0000, 0.5000).

***

(6)
Below is NaAlI4 after structural relaxation, with properties calculated at the PBEsol level.

As for the uncorrected formation energy: -0.847 eV/atom.

The structure belongs to space group Pnma (No. 62); the cell edges are 14.7715, 8.0358 and 8.0535 Å and the angles 90.00°, 90.00° and 90.00°. The inequivalent atoms are Na at (0.1511, 0.2500, 0.0555), Al at (0.1011, 0.7500, 0.8016), I at (0.0364, 0.2500, 0.3858), I at (0.0520, 0.7500, 0.1051) and I at (0.2018, 0.0025, 0.7397).

***

(7)
Below is CuIr2 after structural relaxation, with properties calculated at the PBEsol level.

The value obtained for the formation energy is 0.114 eV per atom. Its offset from the most stable computed form is 35.3 meV per atom.

The structure belongs to space group Cm (No. 8); the cell edges are 9.8018, 2.6786 and 6.3416 Å and the angles 90.00°, 104.72° and 90.00°. The inequivalent atoms are Cu at (0.0000, 0.0000, 0.0000), Cu at (0.1538, 0.5000, 0.3176), Ir at (0.0469, 0.0000, 0.6089), Ir at (0.2250, 0.5000, 0.9413), Ir at (0.3231, 0.0000, 0.6550) and Ir at (0.3804, 0.0000, 0.2747).

***

(8)
Below is La2W after structural relaxation, with properties calculated at the PBEsol level.

The value obtained for the formation energy is 0.828 eV per atom. Its offset from the most stable computed form is 164.8 meV per atom.

The structure belongs to space group R32 (No. 155, hexagonal axes); the cell edges are 5.4994, 5.4994 and 16.5525 Å and the angles 90.00°, 90.00° and 120.00°. The inequivalent atoms are La at (0.0000, 0.0000, 0.0000), La at (0.0000, 0.3190, 0.5000) and W at (0.0000, 0.0000, 0.3319).

***

no.,density (g cm⁻³),N(E_F) (states/eV/atom),electronic total energy (eV/atom)
1,7.1,0.89,-3.78
2,5.2,1.16,-4.65
3,7.1,0.47,-3.07
4,5.7,0.77,-7.11
5,5.2,0.93,-3.65
6,3.9,0.00,-2.94
7,18.5,1.04,-7.88
8,10.6,1.02,-7.34